Record 1
The following is a GGA-PBE calculation of an optimized crystal structure of LiSmMgPt, from the Alexandria database.

raw total energy: -4.186 eV/atom
Fermi-level density of states: 3.0 states/eV/cell
ΔH_f (0 K): -0.62 eV/atom
size of the total moment: 0.000 Bohr magnetons per cell

Cell: 4.846 4.846 4.846 Å, 60.00 60.00 60.00°
Positions (direct):
Li 0.750 0.750 0.750
Sm 0.000 0.000 0.000
Mg 0.500 0.500 0.500
Pt 0.250 0.250 0.250

=====

Record 2
The following is a GGA-PBE calculation of an optimized crystal structure of LiZr2BiSe, from the Alexandria database.

raw total energy: -5.620 eV/atom
Fermi-level density of states: 5.2 states/eV/cell
size of the total moment: 0.000 Bohr magnetons per cell
formation energy (no corrections): -0.35 eV/atom

Cell: 5.129 4.443 5.129 Å, 90.00 90.00 90.00°
Positions (direct):
Se 0.000 0.000 0.000
Li 0.000 0.500 0.000
Bi 0.500 0.500 0.500
Zr 0.000 0.000 0.500
Zr 0.500 0.000 0.000

=====

Record 3
The following is a GGA-PBE calculation of an optimized crystal structure of PrZn6Ni2, from the Alexandria database.

raw total energy: -2.468 eV/atom
Fermi-level density of states: 11.8 states/eV/cell
ΔH_f (0 K): 0.20 eV/atom
size of the total moment: 0.000 Bohr magnetons per cell

Cell: 8.028 8.028 8.028 Å, 60.00 60.00 60.00°
Positions (direct):
Zn 0.772 0.772 0.228
Zn 0.228 0.772 0.772
Zn 0.478 0.022 0.022
Zn 0.022 0.478 0.478
Zn 0.228 0.228 0.772
Zn 0.772 0.228 0.772
Zn 0.772 0.228 0.228
Zn 0.478 0.478 0.022
Zn 0.478 0.022 0.478
Zn 0.228 0.772 0.228
Zn 0.022 0.478 0.022
Zn 0.022 0.022 0.478
Pr 0.750 0.750 0.750
Pr 0.500 0.500 0.500
Ni 0.125 0.125 0.625
Ni 0.125 0.125 0.125
Ni 0.125 0.625 0.125
Ni 0.625 0.125 0.125